A relaxed structure of CrO3F3. Source: Alexandria via LeMat-Bulk, functional PBE with a Hubbard U.

a b c (Å): 4.9673 5.5011 5.5968
angles (deg): 118.20 110.76 94.78
With the nearest neighbours (Å) after each atom.
Sites, in units of the cell vectors:
Cr 0.0000 0.0000 0.0000  1 O 1.57
O 0.0364 0.0395 0.3076  1 Cr 1.57
O 0.5993 0.6950 0.6215  1 O 1.33
O 0.8385 0.6014 0.6729  1 O 1.33
F 0.3655 0.0424 0.0149  1 Cr 1.78
F 0.5699 0.7881 0.3859  1 O 1.59
F 0.9378 0.3033 0.9817  1 Cr 1.76

## Properties
ρ, g/cm³: 2.17
DOS(E_F), states/eV/f.u.: 0.0
Energy relative to the lowest polymorph listed for this composition, meV per atom: 16